# 1
The following is a PBE-GGA calculation of an optimized crystal structure of NaSr2SbO4, from Alexandria via LeMat-Bulk.

Cell lengths 7.083, 7.083, 7.242 Å; angles 120.75, 120.75, 88.03 degrees
Positions (direct):
O  0.756  0.227  0.992
Sr  0.500  0.000  0.000
Na  0.000  0.500  0.500
O  0.248  0.252  0.492
Sr  0.500  0.500  0.000
Sb  0.500  0.500  0.500
O  0.727  0.256  0.492
O  0.248  0.252  0.008
Na  0.000  0.500  0.000
O  0.752  0.748  0.508
O  0.752  0.748  0.992
O  0.273  0.744  0.508
Sb  0.000  0.000  0.000
Sr  0.500  0.000  0.500
O  0.244  0.773  0.008
Sr  0.000  0.000  0.500

uncorrected energy: -5.541 eV/atom
total moment: 0.00 μB per cell
density: 4994 kg/m3

***

# 2
The following is a PBE-GGA calculation of an optimized crystal structure of Zr3SiAs, from Alexandria via LeMat-Bulk.

Cell lengths 4.914, 4.914, 4.914 Å; angles 90.00, 90.00, 90.00 degrees
Positions (direct):
Si  0.000  0.000  0.000
As  0.500  0.500  0.500
Zr  0.000  0.000  0.500
Zr  0.000  0.500  0.000
Zr  0.500  0.000  0.000

uncorrected energy: -6.998 eV/atom
total moment: 0.00 μB per cell
density: 5271 kg/m3

***

# 3
The following is a PBE-GGA calculation of an optimized crystal structure of Te3IrPd, from Alexandria via LeMat-Bulk.

Cell lengths 3.896, 6.433, 10.335 Å; angles 93.28, 100.87, 72.33 degrees
Positions (direct):
Te  0.533  0.719  0.749
Te  0.384  0.196  0.926
Pd  0.653  0.871  0.138
Ir  0.159  0.421  0.703
Te  0.304  0.565  0.133
Te  0.733  0.175  0.603
Te  0.955  0.586  0.456
Te  0.155  0.041  0.310
Ir  0.529  0.340  0.356
Pd  0.035  0.890  0.921

uncorrected energy: -4.877 eV/atom
total moment: 0.00 μB per cell
density: 9338 kg/m3